[1]
Density functional theory data (PBE) for a relaxed structure of Hf2Ta.

Cell lengths 3.386, 3.386, 10.879 Å; angles 90.00, 90.00, 90.00 degrees
Space group I4/mmm (No. 139)
Unique sites:
Hf  0.000  0.000  0.154 (multiplicity 4)
Ta  0.000  0.000  0.500 (multiplicity 2)

The crystal system is tetragonal. The energy of formation from the pure elements comes out at 0.488 eV/f.u. The calculation puts the energy above the most stable polymorph in this dataset at 30 meV per atom.



[2]
Density functional theory data (PBE) for a relaxed structure of TlSnPd.

Cell lengths 7.9252, 7.9252, 3.6819 Å; angles 90.00, 90.00, 120.00 degrees
Space group P-62m (No. 189)
Unique sites:
Tl  0.0000  0.2869  0.0000 (multiplicity 3)
Sn  0.0000  0.0000  0.5000 (multiplicity 1)
Sn  0.3333  0.6667  0.0000 (multiplicity 2)
Pd  0.0000  0.6110  0.5000 (multiplicity 3)

The crystal system is hexagonal. For the total energy, the calculation gives -3.681 eV per atom.



[3]
Density functional theory data (PBE) for a relaxed structure of HfGaCuPt.

Cell lengths 6.280, 6.280, 6.280 Å; angles 90.00, 90.00, 90.00 degrees
Space group F-43m (No. 216)
Unique sites:
Hf  0.000  0.000  0.000 (multiplicity 4)
Ga  0.250  0.250  0.750 (multiplicity 4)
Cu  0.250  0.250  0.250 (multiplicity 4)
Pt  0.000  0.000  0.500 (multiplicity 4)

The crystal system is cubic. The calculation puts the energy above the most stable polymorph in this dataset at 134 meV per atom.



[4]
Density functional theory data (PBE) for a relaxed structure of GdMgZn.

Cell lengths 3.4815, 3.4815, 13.7440 Å; angles 90.00, 90.00, 120.00 degrees
Space group P3m1 (No. 156)
Unique sites:
Gd  0.0000  0.0000  0.0000 (multiplicity 1)
Gd  0.3333  0.6667  0.2084 (multiplicity 1)
Mg  0.0000  0.0000  0.6910 (multiplicity 1)
Mg  0.6667  0.3333  0.4069 (multiplicity 1)
Zn  0.3333  0.6667  0.5496 (multiplicity 1)
Zn  0.3333  0.6667  0.8335 (multiplicity 1)

The crystal system is trigonal. For the total energy, the calculation gives -2.461 eV per atom.



[5]
Density functional theory data (PBE) for a relaxed structure of PrAgSnTeSe2.

Cell lengths 4.207, 14.236, 11.364 Å; angles 90.00, 90.00, 90.00 degrees
Space group Cmcm (No. 63)
Unique sites:
Pr  0.000  0.000  0.000 (multiplicity 4)
Ag  0.000  0.478  0.250 (multiplicity 4)
Sn  0.000  0.215  0.750 (multiplicity 4)
Te  0.000  0.111  0.250 (multiplicity 4)
Se  0.000  0.360  0.069 (multiplicity 8)

The crystal system is orthorhombic. For the total energy, the calculation gives -4.445 eV per atom.



[6]
Density functional theory data (PBE) for a relaxed structure of TmSc2Al3CuGe2.

Cell lengths 4.026, 11.837, 6.790 Å; angles 90.00, 90.00, 90.00 degrees
Space group Amm2 (No. 38)
Unique sites:
Tm  0.000  0.000  0.000 (multiplicity 2)
Sc  0.000  0.202  0.393 (multiplicity 4)
Al  0.500  0.000  0.358 (multiplicity 2)
Al  0.500  0.119  0.710 (multiplicity 4)
Cu  0.000  0.000  0.588 (multiplicity 2)
Ge  0.500  0.170  0.095 (multiplicity 4)

The crystal system is orthorhombic. For the total energy, the calculation gives -5.223 eV per atom.



[7]
Density functional theory data (PBE) for a relaxed structure of BaEr2Se3.

Cell lengths 4.1740, 4.1740, 10.6247 Å; angles 90.00, 90.00, 120.00 degrees
Space group P-3m1 (No. 164)
Unique sites:
Ba  0.0000  0.0000  0.0000 (multiplicity 1)
Er  0.3333  0.6667  0.6488 (multiplicity 2)
Se  0.0000  0.0000  0.5000 (multiplicity 1)
Se  0.3333  0.6667  0.2047 (multiplicity 2)

The crystal system is trigonal. For the total energy, the calculation gives -5.379 eV per atom.



[8]
Density functional theory data (PBE) for a relaxed structure of Fe2Bi.

Cell lengths 7.364, 7.364, 7.364 Å; angles 90.00, 90.00, 90.00 degrees
Space group Fd-3m (No. 227, origin choice 2)
Unique sites:
Fe  0.000  0.000  0.000 (multiplicity 16)
Bi  0.125  0.125  0.625 (multiplicity 8)

The crystal system is cubic. For the total energy, the calculation gives -6.502 eV per atom.



[9]
Density functional theory data (PBE) for a relaxed structure of LiCuTcBi.

Cell lengths 6.381, 6.381, 6.381 Å; angles 90.00, 90.00, 90.00 degrees
Space group F-43m (No. 216)
Unique sites:
Li  0.000  0.000  0.000 (multiplicity 4)
Cu  0.250  0.250  0.250 (multiplicity 4)
Tc  0.250  0.250  0.750 (multiplicity 4)
Bi  0.000  0.000  0.500 (multiplicity 4)

The crystal system is cubic. The calculation puts the energy above the most stable polymorph in this dataset at 0 meV per atom.



[10]
Density functional theory data (PBE) for a relaxed structure of LiPrSeO.

Cell lengths 5.977, 7.322, 6.618 Å; angles 90.00, 96.41, 90.00 degrees
Space group P2_1/c (No. 14)
Unique sites:
Li  0.120  0.237  0.488 (multiplicity 4)
Pr  0.386  0.591  0.757 (multiplicity 4)
Se  0.123  0.561  0.280 (multiplicity 4)
O  0.430  0.197  0.445 (multiplicity 4)

The crystal system is monoclinic. The calculation puts the energy above the most stable polymorph in this dataset at 119 meV per atom.



[11]
Density functional theory data (PBE) for a relaxed structure of Dy3YGa4.

Cell lengths 6.633, 4.344, 13.222 Å; angles 90.00, 90.00, 90.00 degrees
Space group Amm2 (No. 38)
Unique sites:
Dy  0.000  0.000  0.000 (multiplicity 2)
Dy  0.000  0.000  0.276 (multiplicity 2)
Dy  0.500  0.000  0.830 (multiplicity 2)
Y  0.500  0.000  0.105 (multiplicity 2)
Ga  0.196  0.000  0.651 (multiplicity 4)
Ga  0.303  0.000  0.454 (multiplicity 4)

The crystal system is orthorhombic. For the total energy, the calculation gives -4.689 eV per atom.



[12]
Density functional theory data (PBE) for a relaxed structure of NdErAsO.

Cell lengths 4.293, 4.293, 9.125 Å; angles 90.00, 90.00, 90.00 degrees
Space group P4/nmm (No. 129, origin choice 2)
Unique sites:
Nd  0.250  0.750  0.000 (multiplicity 2)
Er  0.250  0.250  0.407 (multiplicity 2)
As  0.250  0.250  0.779 (multiplicity 2)
O  0.250  0.750  0.500 (multiplicity 2)

The crystal system is tetragonal. The calculation puts the energy above the most stable polymorph in this dataset at 192 meV per atom.



- Number 3 is which compound?
  HfGaCuPt



Repeat the fifth record exactly.
Density functional theory data (PBE) for a relaxed structure of PrAgSnTeSe2.

Cell lengths 4.207, 14.236, 11.364 Å; angles 90.00, 90.00, 90.00 degrees
Space group Cmcm (No. 63)
Unique sites:
Pr  0.000  0.000  0.000 (multiplicity 4)
Ag  0.000  0.478  0.250 (multiplicity 4)
Sn  0.000  0.215  0.750 (multiplicity 4)
Te  0.000  0.111  0.250 (multiplicity 4)
Se  0.000  0.360  0.069 (multiplicity 8)

The crystal system is orthorhombic. For the total energy, the calculation gives -4.445 eV per atom.